# Fe3O2F4 | Alexandria | PBE+U | relaxed
# Total energy (eV/atom): -5.843
data_Fe3O2F4
_chemical_formula_sum 'Fe6 O4 F8'
_symmetry_space_group_name_H-M 'P 1 21/c 1'
_symmetry_Int_Tables_number 14
_cell_length_a 4.787
_cell_length_b 4.807
_cell_length_c 10.502
_cell_angle_alpha 90.00
_cell_angle_beta 116.47
_cell_angle_gamma 90.00
loop_
_symmetry_equiv_pos_as_xyz
'x,y,z'
'-x,-y,-z'
'-x,y+1/2,-z+1/2'
'x,-y+1/2,z+1/2'
loop_
_atom_site_label
_atom_site_fract_x
_atom_site_fract_y
_atom_site_fract_z
Fe1 0.000 0.000 0.000
Fe2 0.284 0.026 0.324
O1 0.028 0.178 0.832
F1 0.317 0.678 0.001
F2 0.384 0.227 0.177